## YInSe3 (PBE)

Data for a relaxed structure of YInSe3.

Lattice parameters (Å, degrees): 7.4461 10.2095 6.8216 90.00 90.00 90.00
Space group Pnma (No. 62)
Inequivalent atoms, fractional coordinates:
Y 0.1135 0.2500 0.0487 (multiplicity 4)
In 0.0000 0.0000 0.5000 (multiplicity 4)
Se 0.0548 0.7500 0.3374 (multiplicity 4)
Se 0.1746 0.5757 0.8240 (multiplicity 8)

Properties
* density: 5.643 g/cm3
* raw formation energy: -1.1200 eV per atom
* total magnetic moment: 0.00 μB per cell

=====

## Pr2Tm3In2 (PBE)

Data for a relaxed structure of Pr2Tm3In2.

Lattice parameters (Å, degrees): 3.7753 5.5139 10.9300 104.37 99.94 90.01
Space group P-1 (No. 2)
Inequivalent atoms, fractional coordinates:
Pr 0.1057 0.1037 0.2109 (multiplicity 2)
Tm 0.0000 0.5000 0.0000 (multiplicity 1)
Tm 0.2448 0.7451 0.4896 (multiplicity 2)
In 0.3750 0.3773 0.7499 (multiplicity 2)

Properties
* total energy: -4.2294 eV per atom
* density: 7.796 g/cm3
* total magnetic moment: 0.00 μB per cell

=====

## CrBr (PBE)

Data for a relaxed structure of CrBr.

Lattice parameters (Å, degrees): 7.6147 7.6147 7.6147 90.00 90.00 90.00
Space group Pm-3n (No. 223)
Inequivalent atoms, fractional coordinates:
Cr 0.0000 0.2500 0.5000 (multiplicity 6)
Br 0.0000 0.5000 0.2500 (multiplicity 6)

Properties
* density: 2.976 g/cm3
* raw formation energy: 0.2184 eV per atom
* total magnetic moment: 29.99 μB per cell